Here is a relaxed LiGa2Ag2 crystal from Alexandria via LeMat-Bulk. Energies are from PBE.

The total energy comes out at -0.104 Ha/atom. The total moment is 0.00 μB/cell. Its formation energy from the elements is -0.1059 eV per atom. The polymorph energy (0 for the lowest one) is 0.288 eV/f.u.

The structure belongs to space group P4/mbm (No. 127); the cell edges are 7.7540, 7.7540 and 2.9961 Å and the angles 90.00°, 90.00° and 90.00°. The asymmetric unit holds Li at (0.0000, 0.0000, 0.0000), Ga at (0.1210, 0.3790, 0.0000) and Ag at (0.1815, 0.6815, 0.5000).